Entry 1:
# SrLa2Bi2

SrLa2Bi2 after structural relaxation (PBEsol, Alexandria).

Unit cell a=8.8162 b=8.8162 c=4.3999 alpha=90.00 beta=90.00 gamma=90.00
Positions (direct):
Sr 0.0000 0.0000 0.0000
Sr 0.5000 0.5000 0.0000
La 0.1515 0.3485 0.5000
La 0.3485 0.8485 0.5000
La 0.6515 0.1515 0.5000
La 0.8485 0.6515 0.5000
Bi 0.1489 0.6489 0.0000
Bi 0.3511 0.1489 0.0000
Bi 0.6489 0.8511 0.0000
Bi 0.8511 0.3511 0.0000

Output
energy of formation from the pure elements: -0.88 eV/atom

Entry 2:
# ScTeHI2

ScTeHI2 after structural relaxation (PBEsol, Alexandria).

Unit cell a=5.6624 b=5.6624 c=5.5152 alpha=90.00 beta=90.00 gamma=90.00
Positions (direct):
Sc 0.0000 0.0000 0.0000
Te 0.0000 0.0000 0.5000
H 0.5000 0.5000 0.5000
I 0.0000 0.5000 0.0000
I 0.5000 0.0000 0.0000

Entry 3:
# La2Te

La2Te after structural relaxation (PBEsol, Alexandria).

Unit cell a=6.2844 b=6.2844 c=6.2844 alpha=109.31 beta=109.31 gamma=109.80
Positions (direct):
La 0.1595 0.6595 0.8190
La 0.3405 0.1595 0.5000
La 0.6595 0.8405 0.5000
La 0.8405 0.3405 0.1810
Te 0.2500 0.2500 0.0000
Te 0.7500 0.7500 0.0000

Entry 4:
# KRbO

KRbO after structural relaxation (PBEsol, Alexandria).

Unit cell a=8.7886 b=8.7886 c=8.7886 alpha=95.74 beta=95.74 gamma=143.12
Positions (direct):
K 0.1653 0.1653 0.3305
K 0.1653 0.8347 0.0000
K 0.8347 0.1653 0.0000
K 0.8347 0.8347 0.6695
Rb 0.1427 0.5000 0.6427
Rb 0.5000 0.1427 0.6427
Rb 0.5000 0.8573 0.3573
Rb 0.8573 0.5000 0.3573
O 0.0000 0.2994 0.2994
O 0.0000 0.7006 0.7006
O 0.2994 0.0000 0.2994
O 0.7006 0.0000 0.7006

Entry 5:
# BeHgP2Cl

BeHgP2Cl after structural relaxation (PBEsol, Alexandria).

Unit cell a=4.4436 b=4.4436 c=4.3553 alpha=90.00 beta=90.00 gamma=90.00
Positions (direct):
Be 0.0000 0.0000 0.0000
Hg 0.5000 0.5000 0.5000
P 0.0000 0.5000 0.0000
P 0.5000 0.0000 0.0000
Cl 0.0000 0.0000 0.5000

Entry 6:
# ZrHgPb2

ZrHgPb2 after structural relaxation (PBEsol, Alexandria).

Unit cell a=3.2213 b=3.2213 c=9.5779 alpha=90.00 beta=90.00 gamma=90.00
Positions (direct):
Zr 0.0000 0.0000 0.0000
Hg 0.5000 0.5000 0.2070
Pb 0.0000 0.0000 0.4535
Pb 0.5000 0.5000 0.7600

Output
energy of formation from the pure elements: -0.08 eV/atom

Entry 7:
# TiCu2RuW

TiCu2RuW after structural relaxation (PBEsol, Alexandria).

Unit cell a=4.3300 b=4.3300 c=4.3650 alpha=90.00 beta=90.00 gamma=90.00
Positions (direct):
Ti 0.0000 0.0000 0.0000
Cu 0.0000 0.5000 0.0000
Cu 0.5000 0.0000 0.0000
Ru 0.5000 0.5000 0.5000
W 0.0000 0.0000 0.5000

Output
energy of formation from the pure elements: 1.87 eV/atom

Entry 8:
# HfMn6Sn6

HfMn6Sn6 after structural relaxation (PBEsol, Alexandria).

Unit cell a=5.3086 b=5.3086 c=8.7953 alpha=90.00 beta=90.00 gamma=120.00
Positions (direct):
Hf 0.0000 0.0000 0.0000
Mn 0.0000 0.5000 0.2469
Mn 0.0000 0.5000 0.7531
Mn 0.5000 0.0000 0.2469
Mn 0.5000 0.0000 0.7531
Mn 0.5000 0.5000 0.2469
Mn 0.5000 0.5000 0.7531
Sn 0.0000 0.0000 0.3283
Sn 0.0000 0.0000 0.6717
Sn 0.3333 0.6667 0.0000
Sn 0.3333 0.6667 0.5000
Sn 0.6667 0.3333 0.0000
Sn 0.6667 0.3333 0.5000

Output
energy of formation from the pure elements: -0.06 eV/atom

Entry 9:
# Si4AsW

Si4AsW after structural relaxation (PBEsol, Alexandria).

Unit cell a=4.9428 b=4.9428 c=4.9428 alpha=60.00 beta=60.00 gamma=60.00
Positions (direct):
Si 0.3758 0.3758 0.3758
Si 0.3758 0.3758 0.8727
Si 0.3758 0.8727 0.3758
Si 0.8727 0.3758 0.3758
As 0.7500 0.7500 0.7500
W 0.0000 0.0000 0.0000

Entry 10:
# AgHgPd2

AgHgPd2 after structural relaxation (PBEsol, Alexandria).

Unit cell a=4.5096 b=4.5096 c=4.5096 alpha=60.00 beta=60.00 gamma=60.00
Positions (direct):
Ag 0.0000 0.0000 0.0000
Hg 0.5000 0.5000 0.5000
Pd 0.2500 0.2500 0.2500
Pd 0.7500 0.7500 0.7500

Output
energy of formation from the pure elements: -0.17 eV/atom

Entry 11:
# Ga2FeSe2

Ga2FeSe2 after structural relaxation (PBEsol, Alexandria).

Unit cell a=5.1608 b=5.1608 c=5.1608 alpha=121.11 beta=121.11 gamma=88.09
Positions (direct):
Ga 0.1610 0.1610 0.0000
Ga 0.8390 0.8390 0.0000
Fe 0.5000 0.5000 0.0000
Se 0.2500 0.7500 0.5000
Se 0.7500 0.2500 0.5000

Entry 12:
# Be2Cd

Be2Cd after structural relaxation (PBEsol, Alexandria).

Unit cell a=4.6530 b=4.6530 c=4.6530 alpha=60.00 beta=60.00 gamma=60.00
Positions (direct):
Be 0.0000 0.0000 0.0000
Be 0.0000 0.0000 0.5000
Be 0.0000 0.5000 0.0000
Be 0.5000 0.0000 0.0000
Cd 0.3750 0.3750 0.3750
Cd 0.6250 0.6250 0.6250

Output
energy of formation from the pure elements: 0.23 eV/atom

| no. | DFT total energy (eV for the cell shown) |
| --- | --- |
| 1 | -51.0 |
| 2 | -17.4 |
| 3 | -34.4 |
| 4 | -40.2 |
| 5 | -15.9 |
| 6 | -18.0 |
| 7 | -31.6 |
| 8 | -95.5 |
| 9 | -38.6 |
| 10 | -16.5 |
| 11 | -22.4 |
| 12 | -17.0 |